# 1
16
Lattice="4.2199 2.4363 7.6285 -4.2199 2.4363 7.6285 0.0000 -4.8727 7.6285" Properties=species:S:1:pos:R:3 comment="K4Pu3ScSe8, optimized geometry, DFT PBE" spacegroup="R-3m, No. 166" raw_formation_energy_ev_per_atom=-1.495 pbc="T T T"
K 0.0000 0.0000 0.0000
K -2.1099 -1.2182 7.6285
K -2.1099 1.2182 15.2570
K 0.0000 2.4363 7.6285
Pu -4.2199 0.0000 11.4428
Pu -2.1099 1.2182 3.8142
Pu 2.1099 1.2182 3.8143
Sc 0.0000 0.0000 11.4428
Se 0.0000 0.0000 5.3851
Se -2.0267 -1.1701 12.9756
Se 0.0000 -2.3402 9.9100
Se -2.0267 1.1701 9.9100
Se 2.0267 -1.1701 12.9756
Se 0.0000 2.3402 12.9756
Se 2.0267 1.1701 9.9100
Se 0.0000 0.0000 17.5004



# 2
15
Lattice="7.2478 -4.1793 0.0000 7.2478 4.1793 0.0000 -4.8046 0.0000 7.7620" Properties=species:S:1:pos:R:3 comment="K3Pu3ScSe8, optimized geometry, DFT PBE" spacegroup="C2/m, No. 12" raw_formation_energy_ev_per_atom=-1.449 pbc="T T T"
K 0.0000 0.0000 0.0000
K 3.6239 2.0896 0.0000
K 3.6239 -2.0896 0.0000
Pu 1.2216 2.0896 3.8810
Pu 1.2216 -2.0896 3.8810
Pu 4.8455 0.0000 3.8810
Sc -2.4023 0.0000 3.8810
Se 3.6942 2.1713 5.3950
Se -0.0632 0.0000 5.3832
Se 5.9968 2.1713 2.3670
Se 2.4160 0.0000 2.2821
Se 7.2751 0.0000 5.4800
Se 3.6942 -2.1713 5.3950
Se 9.7543 0.0000 2.3788
Se 5.9968 -2.1713 2.3670